Record 1
A geometry-optimized Tb6Ho2Ru structure, computed with PBE-GGA.

Unit cell a=8.627 b=3.694 c=8.718 alpha=90.00 beta=93.36 gamma=90.00
Space group P2/m (No. 10)
Unique sites:
Tb (0.035, 0.000, 0.198) (multiplicity 2)
Tb (0.231, 0.500, 0.552) (multiplicity 2)
Tb (0.445, 0.000, 0.280) (multiplicity 2)
Ho (0.301, 0.500, 0.967) (multiplicity 2)
Ru (0.000, 0.000, 0.500) (multiplicity 1)

Values from the calculation:
V	277.3	Å³ per cell
total moment	0.0	μB/cell
energy of formation	-5	kJ/mol of atoms



Record 2
A geometry-optimized LiPrScZn structure, computed with PBE-GGA.

Unit cell a=7.169 b=7.169 c=7.169 alpha=90.00 beta=90.00 gamma=90.00
Space group F-43m (No. 216)
Unique sites:
Li (0.000, 0.000, 0.000) (multiplicity 4)
Pr (0.250, 0.250, 0.750) (multiplicity 4)
Sc (0.250, 0.250, 0.250) (multiplicity 4)
Zn (0.000, 0.000, 0.500) (multiplicity 4)

Values from the calculation:
V	368.5	Å³ per cell
total moment	0.0	μB/cell
energy of formation	-8	kJ/mol of atoms



Record 3
A geometry-optimized PuTi2CoN4 structure, computed with PBE-GGA.

Unit cell a=3.096 b=10.491 c=10.522 alpha=90.00 beta=90.00 gamma=90.00
Space group Cmcm (No. 63)
Unique sites:
Pu (0.000, 0.108, 0.250) (multiplicity 4)
Ti (0.000, 0.369, 0.049) (multiplicity 8)
Co (0.000, 0.157, 0.750) (multiplicity 4)
N (0.000, 0.000, 0.000) (multiplicity 4)
N (0.000, 0.270, 0.612) (multiplicity 8)
N (0.000, 0.447, 0.250) (multiplicity 4)

Values from the calculation:
formation energy from raw total energies	-1.15	eV/atom
V	341.8	Å³ per cell
total moment	12.7	μB/cell



Which of these has the highest V?
LiPrScZn